Density functional theory data (PBE) for a relaxed structure of Fe2W.

Cell and atoms, written as POSCAR:
```
Fe2W
1.0
4.8617 -1.3011 0.0000
4.8617 1.3011 0.0000
-1.4539 0.0000 6.0686
Fe W
4 2
Direct
0.0000 0.0000 0.0000
0.0631 0.0631 0.6309
0.3458 0.3458 0.6827
0.6720 0.6720 0.3593
0.4038 0.4038 0.3064
0.7218 0.7218 0.9514
```

Results
SG: No. 8
Formation energy, eV/f.u.: 0.677